The following is a PBE-GGA calculation of a geometry-optimized La3Dy2Er5 structure, from Alexandria via LeMat-Bulk.

Values from the calculation:
**Space-group type**: C2/c, No. 15
**DFT formation energy**: 0.192 eV per atom

Lattice parameters (Å, degrees): 9.3472 9.3327 11.2140 124.18 124.20 69.55
Last column: nearest neighbours and their distance in Å.
Atoms (fractional coordinates):
1 La 0.2359 0.9859 0.9717  4 Dy 3.32-3.64, 3 Er 3.44-3.66, 2 La 3.54
2 La 0.7641 0.0141 0.0283  4 Dy 3.32-3.64, 3 Er 3.44-3.66, 2 La 3.54
3 La 0.7304 0.4718 0.2480  1 Dy 3.14, 5 Er 3.33-3.51
4 La 0.2696 0.5282 0.7520  1 Dy 3.14, 5 Er 3.33-3.51
5 La 0.0175 0.7762 0.2480  1 Dy 3.14, 5 Er 3.33-3.51
6 La 0.9825 0.2238 0.7520  1 Dy 3.14, 5 Er 3.33-3.51
7 Dy 0.7663 0.0102 0.7315  2 La 3.14-3.32, 4 Er 3.28-3.42
8 Dy 0.2337 0.9898 0.2685  2 La 3.14-3.32, 4 Er 3.28-3.42
9 Dy 0.4653 0.7213 0.7315  2 La 3.14-3.32, 4 Er 3.28-3.42
10 Dy 0.5347 0.2787 0.2685  2 La 3.14-3.32, 4 Er 3.28-3.42
11 Er 0.2747 0.5247 0.0494  1 Er 3.20, 4 La 3.33-3.53
12 Er 0.7253 0.4753 0.9506  1 Er 3.20, 4 La 3.33-3.53
13 Er 0.0257 0.7757 0.5513  5 La 3.36-3.46, 2 Dy 3.40, 2 Er 3.49
14 Er 0.5297 0.2797 0.5593  3 Er 3.20-3.51, 4 Dy 3.28-3.42, 2 La 3.51
15 Er 0.9743 0.2243 0.4487  5 La 3.36-3.46, 2 Dy 3.40, 2 Er 3.49
16 Er 0.4703 0.7203 0.4407  3 Er 3.20-3.51, 4 Dy 3.28-3.42, 2 La 3.51
17 Er 0.8477 0.6002 0.7208  2 Dy 3.40-3.58, 3 La 3.44-3.66, 3 Er 3.49-3.80
18 Er 0.1523 0.3998 0.2792  2 Dy 3.40-3.58, 3 La 3.44-3.66, 3 Er 3.49-3.80
19 Er 0.3730 0.1205 0.7208  2 Dy 3.40-3.58, 3 La 3.44-3.66, 3 Er 3.49-3.80
20 Er 0.6270 0.8795 0.2792  2 Dy 3.40-3.58, 3 La 3.44-3.66, 3 Er 3.49-3.80

---

The following is a PBE-GGA calculation of a geometry-optimized AcPm2SmSb4 structure, from Alexandria via LeMat-Bulk.

Values from the calculation:
**Space-group type**: P2/m, No. 10
**ΔE_f (raw)**: -1.1708 eV per atom

Lattice parameters (Å, degrees): 4.5695 7.9127 7.9111 70.58 90.00 90.00
Last column: nearest neighbours and their distance in Å.
Atoms (fractional coordinates):
1 Ac 0.5000 0.5000 0.0000  6 Sb 3.30
2 Pm 0.0000 0.0000 0.0000  6 Sb 3.24
3 Pm 0.5000 0.0000 0.5000  6 Sb 3.16
4 Sm 0.0000 0.5000 0.5000  6 Sb 3.22-3.23
5 Sb 0.0000 0.7605 0.7384  3 Pm 3.16-3.24, 1 Sm 3.22, 2 Ac 3.30
6 Sb 0.0000 0.2395 0.2616  3 Pm 3.16-3.24, 1 Sm 3.22, 2 Ac 3.30
7 Sb 0.5000 0.7544 0.2563  3 Pm 3.16-3.24, 2 Sm 3.23, 1 Ac 3.30
8 Sb 0.5000 0.2456 0.7437  3 Pm 3.16-3.24, 2 Sm 3.23, 1 Ac 3.30

---

The following is a PBE-GGA calculation of a geometry-optimized Th2BeOs structure, from Alexandria via LeMat-Bulk.

Values from the calculation:
**Space-group type**: R-3m, No. 166
**DFT formation energy**: 0.911 eV per atom

Lattice parameters (Å, degrees): 3.2490 3.2490 10.8587 81.40 81.40 60.00
Last column: nearest neighbours and their distance in Å.
Atoms (fractional coordinates):
1 Be 0.0000 0.0000 0.0000  2 Th 3.01, 6 Be 3.25
2 Os 0.5000 0.5000 0.5000  6 Th 2.99, 6 Os 3.25
3 Th 0.0939 0.0939 0.7182  3 Os 2.99, 1 Be 3.01, 6 Th 3.25
4 Th 0.9061 0.9061 0.2818  3 Os 2.99, 1 Be 3.01, 6 Th 3.25

---

The following is a PBE-GGA calculation of a geometry-optimized MgCdPb2 structure, from Alexandria via LeMat-Bulk.

Values from the calculation:
**Space-group type**: I4/mmm, No. 139
**DFT formation energy**: 0.001 eV per atom
**Excess energy over the best structure of this formula in the dataset**: 27 meV per atom

Lattice parameters (Å, degrees): 5.7761 5.7761 5.7761 130.70 130.70 72.29
Last column: nearest neighbours and their distance in Å.
Atoms (fractional coordinates):
1 Pb 0.0000 0.0000 0.0000  4 Mg 3.35, 4 Cd 3.35, 4 Pb 3.41
2 Pb 0.5000 0.5000 0.0000  4 Cd 3.35, 4 Mg 3.35, 4 Pb 3.41
3 Mg 0.7500 0.2500 0.5000  8 Pb 3.35, 4 Cd 3.41
4 Cd 0.2500 0.7500 0.5000  8 Pb 3.35, 4 Mg 3.41